w | First-principles (GGA-PBE) data for a relaxed Ta3MnTe crystal, as listed in Alexandria.

Cell lengths 4.9917, 4.9917, 4.9917 Å; angles 90.00, 90.00, 90.00 degrees
Atoms (fractional coordinates):
Ta 0.0000 0.0000 0.5000
Ta 0.0000 0.5000 0.0000
Ta 0.5000 0.0000 0.0000
Mn 0.5000 0.5000 0.5000
Te 0.0000 0.0000 0.0000

x | First-principles (GGA-PBE) data for a relaxed Ta3MnTe crystal, as listed in Alexandria.

Cell lengths 4.6643, 4.6643, 4.6643 Å; angles 90.00, 90.00, 90.00 degrees
Atoms (fractional coordinates):
Ta 0.0000 0.0000 0.5000
Ta 0.5000 0.0000 0.0000
Ta 0.0000 0.5000 0.0000
Mn 0.0000 0.0000 0.0000
Te 0.5000 0.5000 0.5000

Result of the stability comparison: x is the most stable of them.